(1)
VASP calculation (PBE) on a geometry-optimized Sr2Sn4GeAu3 structure.

Lattice parameters (Å, degrees): 4.738 4.738 11.645 90.00 90.00 90.00
Fractional positions:
Sr (0.000, 0.500, 0.245)
Sr (0.500, 0.000, 0.755)
Sn (0.000, 0.000, 0.500)
Sn (0.000, 0.500, 0.870)
Sn (0.500, 0.000, 0.130)
Sn (0.500, 0.500, 0.500)
Ge (0.500, 0.500, 0.000)
Au (0.000, 0.000, 0.000)
Au (0.000, 0.500, 0.639)
Au (0.500, 0.000, 0.361)

Summary:
Calculated total energy: -3.8728 eV/atom
Formation enthalpy at 0 K: -0.4904 eV per atom
Crystal system: tetragonal
SG: P-4m2, No. 115



(2)
VASP calculation (PBE) on a geometry-optimized CePuTlSn structure.

Lattice parameters (Å, degrees): 5.441 5.441 5.441 60.00 60.00 60.00
Fractional positions:
Ce (0.000, 0.000, 0.000)
Pu (0.500, 0.500, 0.500)
Tl (0.750, 0.750, 0.750)
Sn (0.250, 0.250, 0.250)

Summary:
Calculated total energy: -6.9088 eV/atom
ΔE to the lowest computed polymorph: 85.2 meV per atom
Formation enthalpy at 0 K: -0.2500 eV per atom
Crystal system: cubic
SG: F-43m, No. 216



(3)
VASP calculation (PBE) on a geometry-optimized CaBi2Pd2 structure.

Lattice parameters (Å, degrees): 6.088 6.088 6.088 130.14 130.14 73.18
Fractional positions:
Ca (0.000, 0.000, 0.000)
Bi (0.250, 0.750, 0.500)
Bi (0.750, 0.250, 0.500)
Pd (0.363, 0.363, 0.000)
Pd (0.637, 0.637, 0.000)

Summary:
Calculated total energy: -4.4503 eV/atom
Formation enthalpy at 0 K: -0.4205 eV per atom
Crystal system: tetragonal
SG: I4/mmm, No. 139



(4)
VASP calculation (PBE) on a geometry-optimized PrBeP2 structure.

Lattice parameters (Å, degrees): 7.553 7.553 7.553 33.16 33.16 33.16
Fractional positions:
Pr (0.000, 0.000, 0.000)
Be (0.500, 0.500, 0.500)
P (0.407, 0.407, 0.407)
P (0.593, 0.593, 0.593)

Summary:
Calculated total energy: -5.0819 eV/atom
Formation enthalpy at 0 K: -0.2505 eV per atom
Crystal system: trigonal
SG: R-3m, No. 166



(5)
VASP calculation (PBE) on a geometry-optimized AgSb2 structure.

Lattice parameters (Å, degrees): 6.373 6.373 6.373 151.16 140.63 49.53
Fractional positions:
Ag (0.000, 0.000, 0.000)
Sb (0.369, 0.369, 0.000)
Sb (0.631, 0.631, 0.000)

Summary:
Calculated total energy: -3.5140 eV/atom
Formation energy from raw total energies: 4.26 kcal/mol of atoms
Crystal system: orthorhombic
SG: Immm, No. 71



(6)
VASP calculation (PBE) on a geometry-optimized ZrInCuPt2 structure.

Lattice parameters (Å, degrees): 4.981 4.981 4.585 90.00 90.00 90.00
Fractional positions:
Zr (0.000, 0.000, 0.000)
In (0.500, 0.500, 0.500)
Cu (0.500, 0.500, 0.000)
Pt (0.000, 0.500, 0.500)
Pt (0.500, 0.000, 0.500)

Summary:
Calculated total energy: -4.8654 eV/atom
Formation enthalpy at 0 K: 0.6275 eV per atom
Crystal system: tetragonal
SG: P4/mmm, No. 123



(7)
VASP calculation (PBE) on a geometry-optimized La2MgN2 structure.

Lattice parameters (Å, degrees): 7.383 7.383 7.383 150.43 150.43 42.32
Fractional positions:
La (0.159, 0.159, 0.000)
La (0.841, 0.841, 0.000)
Mg (0.500, 0.500, 0.000)
N (0.337, 0.337, 0.000)
N (0.663, 0.663, 0.000)

Summary:
Calculated total energy: -6.6446 eV/atom
Formation energy from raw total energies: -23.63 kcal/mol of atoms
Crystal system: tetragonal
SG: I4/mmm, No. 139



(8)
VASP calculation (PBE) on a geometry-optimized UInPt structure.

Lattice parameters (Å, degrees): 4.042 4.354 7.385 90.00 105.45 90.00
Fractional positions:
U (0.099, 0.250, 0.109)
U (0.901, 0.750, 0.891)
In (0.247, 0.750, 0.507)
In (0.753, 0.250, 0.493)
Pt (0.392, 0.250, 0.778)
Pt (0.608, 0.750, 0.222)

Summary:
Calculated total energy: -7.0922 eV/atom
Formation enthalpy at 0 K: -0.4031 eV per atom
Crystal system: monoclinic
SG: P2_1/m, No. 11